[1]
DFT (PBE-GGA) results for a geometry-optimized MgS2ClO structure.

abc: 5.0309 5.0309 4.8555
angles: 90.00 90.00 90.00
Closest atoms and distances in Å follow each position.
Positions (direct):
1 Mg 0.0000 0.0000 0.0000  2 Cl 2.43, 4 S 2.52
2 S 0.0000 0.5000 0.0000  2 Mg 2.52
3 S 0.5000 0.0000 0.0000  2 Mg 2.52
4 Cl 0.0000 0.0000 0.5000  2 Mg 2.43
5 O 0.5000 0.5000 0.5000  8 S 3.50, 4 Cl 3.56

Properties
- energy above the most stable polymorph in this dataset (meV per atom) = 346
- ρ (Mg/m³) = 1.890
- total magnetization (μB per formula unit) = 5.0
- space group = P4/mmm, No. 123
- uncorrected formation energy (eV per formula unit) = 2.53
- V (Å³/atom) = 24.578



[2]
DFT (PBE-GGA) results for a geometry-optimized MgS2ClO structure.

abc: 4.2345 4.2345 4.5933
angles: 90.00 90.00 90.00
Closest atoms and distances in Å follow each position.
Positions (direct):
1 Mg 0.0000 0.0000 0.0000  4 Cl 2.99, 8 S 3.12
2 S 0.0000 0.5000 0.5000  2 O 2.12
3 S 0.5000 0.0000 0.5000  2 O 2.12
4 Cl 0.5000 0.5000 0.0000  2 O 2.30
5 O 0.5000 0.5000 0.5000  4 S 2.12, 2 Cl 2.30

Properties
- energy above the most stable polymorph in this dataset (meV per atom) = 0
- ρ (Mg/m³) = 2.820
- total magnetization (μB per formula unit) = 0.0
- space group = P4/mmm, No. 123
- uncorrected formation energy (eV per formula unit) = 0.80
- V (Å³/atom) = 16.473



[3]
DFT (PBE-GGA) results for a geometry-optimized Sr2MgCl2O2 structure.

abc: 8.2202 8.2202 8.2202
angles: 151.02 151.02 41.44
Closest atoms and distances in Å follow each position.
Positions (direct):
1 Sr 0.1061 0.1061 0.0000  4 O 2.62
2 Sr 0.8939 0.8939 0.0000  4 O 2.62
3 Mg 0.5000 0.5000 0.0000  4 O 2.06
4 Cl 0.3210 0.3210 0.0000  1 Mg 2.75
5 Cl 0.6790 0.6790 0.0000  1 Mg 2.75
6 O 0.0000 0.5000 0.5000  2 Mg 2.06
7 O 0.5000 0.0000 0.5000  2 Mg 2.06

Properties
- ρ (Mg/m³) = 3.861
- total magnetization (μB per formula unit) = 0.0
- space group = I4/mmm, No. 139
- uncorrected formation energy (eV per formula unit) = -18.21
- V (Å³/atom) = 18.584



[4]
DFT (PBE-GGA) results for a geometry-optimized Mg3UCl2O6 structure.

abc: 6.4394 6.4394 5.2114
angles: 97.59 97.59 57.37
Closest atoms and distances in Å follow each position.
Positions (direct):
1 Mg 0.0000 0.0000 0.0000  4 O 2.19
2 Mg 0.0000 0.5000 0.5000  4 O 2.01-2.23
3 Mg 0.5000 0.0000 0.5000  4 O 2.01-2.23
4 U 0.5000 0.5000 0.5000  6 O 2.03-2.10
5 Cl 0.1930 0.1930 0.8263  3 Mg 2.45-2.48
6 Cl 0.8070 0.8070 0.1737  3 Mg 2.45-2.48
7 O 0.1857 0.6857 0.7159  1 U 2.10, 2 Mg 2.19-2.23
8 O 0.3143 0.8143 0.2841  1 U 2.10, 2 Mg 2.19-2.23
9 O 0.3255 0.3255 0.3368  2 Mg 2.01, 1 U 2.03
10 O 0.6745 0.6745 0.6632  2 Mg 2.01, 1 U 2.03
11 O 0.6857 0.1857 0.7159  1 U 2.10, 2 Mg 2.19-2.23
12 O 0.8143 0.3143 0.2841  1 U 2.10, 2 Mg 2.19-2.23

Properties
- ρ (Mg/m³) = 4.410
- total magnetization (μB per formula unit) = 2.0
- space group = C2/m, No. 12
- uncorrected formation energy (eV per formula unit) = -25.70
- V (Å³/atom) = 14.993